Record 1
Here is a relaxed RbAgSe4 crystal from the Open Quantum Materials Database. Energies are from PBE.

POSCAR file:
```
RbAgSe4
1.0
5.8577 0.0000 0.0000
0.0000 9.0105 0.0000
0.0000 0.0000 13.5521
Rb Ag Se
4 4 16
Cartesian
1.0125 0.4965 4.6006
1.9163 8.5139 11.3767
3.9414 4.0087 8.9515
4.8452 5.0018 2.1755
0.2060 1.1836 0.9046
2.7228 7.8268 7.6806
3.1349 3.3216 12.6475
5.6517 5.6889 5.8715
0.4943 5.2475 12.5284
0.7561 6.1826 8.2964
0.7882 3.2886 11.1263
1.1222 7.7542 1.4137
1.8067 1.2563 8.1897
2.1407 5.7219 4.3502
2.1727 2.8279 1.5203
2.4345 3.7629 5.7523
3.4232 8.2681 1.0238
3.6850 7.3331 5.2558
3.7170 1.2167 2.4258
4.0511 5.7615 12.1385
4.7355 3.2490 5.3624
5.0696 7.7938 9.2019
5.1016 1.6774 12.0318
5.3634 0.7423 7.7998
```

Summary:
SG: No. 19
DFT total energy in Ha/atom: -0.123
Crystal system: orthorhombic

=====

Record 2
Here is a relaxed RbSm2Ag3Se5 crystal from the Open Quantum Materials Database. Energies are from PBE.

POSCAR file:
```
RbSm2Ag3Se5
1.0
2.1807 -7.6834 0.0000
2.1807 7.6834 0.0000
0.0000 0.0000 17.5418
Rb Sm Ag Se
2 4 6 10
Cartesian
2.1807 6.7166 13.1563
2.1807 -6.7166 4.3854
2.1807 4.7588 1.6666
2.1807 4.7588 7.1042
2.1807 -4.7588 10.4375
2.1807 -4.7588 15.8751
2.1807 2.4908 13.1563
2.1807 1.3301 0.6415
2.1807 1.3301 8.1293
2.1807 -1.3301 9.4124
2.1807 -1.3301 16.9002
2.1807 -2.4908 4.3854
2.1807 4.9376 10.0397
2.1807 4.9376 16.2729
2.1807 3.7021 4.3854
2.1807 0.9777 10.8771
2.1807 0.9777 15.4356
2.1807 -0.9777 2.1062
2.1807 -0.9777 6.6647
2.1807 -3.7021 13.1563
2.1807 -4.9376 1.2688
2.1807 -4.9376 7.5020
```

Summary:
SG: No. 63
DFT total energy in Ha/atom: -0.163
Crystal system: orthorhombic

=====

Record 3
Here is a relaxed RbAgSnSe3 crystal from the Open Quantum Materials Database. Energies are from PBE.

POSCAR file:
```
RbAgSnSe3
1.0
8.9395 0.0000 0.0000
0.0000 4.1615 0.0000
-3.1249 0.0000 9.3869
Rb Ag Sn Se
2 2 2 6
Cartesian
1.1690 1.0404 2.6077
4.6456 3.1211 6.7791
-1.3472 1.0404 5.5825
7.1618 3.1211 3.8043
0.1996 3.1211 8.0624
5.6150 1.0404 1.3245
-1.6467 1.0404 8.2366
0.4599 3.1211 5.3851
3.6534 3.1211 1.3425
2.1612 1.0404 8.0444
5.3547 1.0404 4.0017
7.4613 3.1211 1.1503
```

Summary:
SG: No. 11
Distance to the lowest polymorph of the same formula in eV/atom: 0.000
DFT total energy in Ha/atom: -0.132
Crystal system: monoclinic

=====

- What is the formula in the third record?
  RbAgSnSe3

=====

- The highest DFT total energy belongs to which entry?
  RbAgSe4